(1)
A geometry-optimized HoPa2Pt structure. Source: Alexandria, functional PBE-GGA.

a b c (Å): 3.524 3.524 9.861
angles (deg): 79.71 79.71 60.00
Fractional positions:
Pt 0.000 0.000 0.000
Ho 0.500 0.500 0.500
Pa 0.737 0.737 0.789
Pa 0.263 0.263 0.211

Calculated values
Fermi-level density of states ... 8.0 states/eV/cell
Total magnetic moment ... 0.00 μB/cell
SG ... No. 166

(2)
A geometry-optimized TiMn2N structure. Source: Alexandria, functional PBE-GGA.

a b c (Å): 2.809 2.809 7.237
angles (deg): 78.81 78.81 60.00
Last column: magnetic moment on the atom in μB.
Fractional positions:
Mn 0.885 0.885 0.345  2.00
Mn 0.115 0.115 0.655  2.00
Ti 0.000 0.000 0.000  -0.32
N 0.500 0.500 0.500  -0.08

Calculated values
Fermi-level density of states ... 2.7 states/eV/cell
Total magnetic moment ... 3.59 μB/cell
SG ... No. 166
E_form (uncorrected) ... 0.017 eV per atom

(3)
A geometry-optimized Th2Ge3Ir3 structure. Source: Alexandria, functional PBE-GGA.

a b c (Å): 2.958 2.958 20.864
angles (deg): 90.00 90.00 90.00
Fractional positions:
Ge 0.500 0.500 0.000
Ge 0.500 0.500 0.386
Ge 0.500 0.500 0.614
Ir 0.500 0.500 0.884
Ir 0.500 0.500 0.116
Ir 0.500 0.500 0.500
Th 0.500 0.500 0.240
Th 0.500 0.500 0.760

Calculated values
Fermi-level density of states ... 8.2 states/eV/cell
Total magnetic moment ... 0.00 μB/cell
SG ... No. 123

(4)
A geometry-optimized ZnPPbS2 structure. Source: Alexandria, functional PBE-GGA.

a b c (Å): 5.261 5.261 5.396
angles (deg): 90.00 90.00 90.00
Last column: magnetic moment on the atom in μB.
Fractional positions:
S 0.000 0.500 0.000  0.12
S 0.500 0.000 0.000  0.12
P 0.000 0.000 0.500  0.60
Zn 0.500 0.500 0.500  -0.03
Pb 0.000 0.000 0.000  -0.01

Calculated values
Fermi-level density of states ... 5.2 states/eV/cell
Total magnetic moment ... 1.68 μB/cell
SG ... No. 123
E_form (uncorrected) ... 0.965 eV per atom
E above lowest polymorph ... 659 meV per atom

Number 1: E -30.31 eV per cell. Number 2: E -34.49 eV per cell. Number 3: E -49.55 eV per cell. Number 4: E -13.82 eV per cell.